one) ## B2C (PBE)

Data for a relaxed structure of B2C.

```
B2C
1.0
1.892 5.856 -0.054
-1.892 5.856 0.054
-0.105 0.000 3.966
B C
8 4
direct
0.825 0.825 0.500
0.108 0.705 0.818
0.522 0.522 0.500
0.647 0.647 0.000
0.979 0.556 0.182
0.154 0.154 0.500
0.556 0.979 0.818
0.705 0.108 0.182
0.843 0.317 0.763
0.336 0.336 0.000
0.007 0.007 0.000
0.317 0.843 0.237
```

space-group type	C2



two) ## B2C (PBE)

Data for a relaxed structure of B2C.

```
B2C
1.0
2.553 0.000 0.000
0.000 4.143 -0.140
0.000 -0.299 8.659
B C
8 4
direct
0.500 0.545 0.129
0.000 0.327 0.210
0.000 0.929 0.949
0.500 0.533 0.522
0.000 0.223 0.512
0.000 0.026 0.325
0.500 0.727 0.350
0.500 0.411 0.871
0.500 0.739 0.983
0.000 0.218 0.830
0.000 0.995 0.680
0.500 0.826 0.639
```

space-group type	Pm



Stability ranking, top and bottom: one) is the most stable and two) is the least stable.



one) ## NiHgBr2 (PBE)

Data for a relaxed structure of NiHgBr2.

```
NiHgBr2
1.0
-1.832 -0.437 -2.669
0.353 -3.235 0.288
-8.164 -0.388 5.668
Br Hg Ni
2 1 1
direct
0.000 0.000 0.909
0.000 0.000 0.591
0.500 0.500 0.250
0.500 0.500 0.750
```

space-group type	P4/mmm



two) ## NiHgBr2 (PBE)

Data for a relaxed structure of NiHgBr2.

```
NiHgBr2
1.0
3.677 -0.003 0.020
1.843 3.181 0.020
1.680 0.967 9.956
Br Hg Ni
2 1 1
direct
0.039 0.039 0.891
0.461 0.461 0.609
0.250 0.250 0.250
0.750 0.750 0.750
```

space-group type	C2/m



Stability ranking, top and bottom: two) is the most stable and one) is the least stable.



one) ## CaTe2Br (PBE)

Data for a relaxed structure of CaTe2Br.

```
CaTe2Br
1.0
-2.141 3.572 1.128
0.889 -0.779 4.153
6.579 4.019 -0.243
Ca Te Br
1 2 1
direct
0.500 0.887 0.747
0.000 0.857 0.070
0.500 0.357 0.071
0.000 0.399 0.612
```

space-group type	Pm



two) ## CaTe2Br (PBE)

Data for a relaxed structure of CaTe2Br.

```
CaTe2Br
1.0
-4.436 2.577 8.955
-6.278 -0.938 8.137
-2.646 -0.924 9.932
Ca Te Br
1 2 1
direct
0.749 0.749 0.749
0.009 0.009 0.009
0.271 0.271 0.271
0.471 0.471 0.471
```

space-group type	R3m



Stability ranking, top and bottom: one) is the most stable and two) is the least stable.



one) ## Li2AlSe (PBE)

Data for a relaxed structure of Li2AlSe.

```
Li2AlSe
1.0
3.507 0.000 0.000
0.000 3.557 0.022
0.000 3.522 5.489
Al Li Se
1 2 1
direct
0.500 0.750 0.750
0.000 0.975 0.024
0.000 0.525 0.476
0.500 0.250 0.250
```

space-group type	Pmmm



two) ## Li2AlSe (PBE)

Data for a relaxed structure of Li2AlSe.

```
Li2AlSe
1.0
-0.052 -1.937 5.411
-1.075 -4.833 2.918
3.461 -0.957 -0.309
Al Li Se
1 2 1
direct
0.699 0.699 0.875
0.974 0.974 0.875
0.295 0.295 0.375
0.533 0.533 0.375
```

space-group type	Amm2



Stability ranking, top and bottom: two) is the most stable and one) is the least stable.